# TiNbAg2I

TiNbAg2I after structural relaxation (PBE-GGA, Alexandria via LeMat-Bulk).

Lattice parameters (Å, degrees): 5.168 5.152 5.168 90.00 90.00 90.00
Each line ends with the local moment (μB).
Positions (direct):
Ag  0.500  0.000  0.000  0.02
I  0.000  0.000  0.000  0.03
Ti  0.500  0.500  0.500  1.69
Nb  0.000  0.500  0.000  -0.84
Ag  0.000  0.000  0.500  0.02

## Properties
Space-group type = P4/mmm, No. 123



# Ho5PaIr6

Ho5PaIr6 after structural relaxation (PBE-GGA, Alexandria via LeMat-Bulk).

Lattice parameters (Å, degrees): 4.815 6.983 7.610 90.00 71.56 90.00
Positions (direct):
Pa  0.000  0.000  0.000
Ho  0.000  0.500  0.000
Ho  0.329  0.000  0.342
Ho  0.671  0.000  0.658
Ir  0.500  0.764  0.000
Ir  0.500  0.236  0.000
Ir  0.159  0.246  0.682
Ho  0.332  0.500  0.335
Ho  0.668  0.500  0.665
Ir  0.841  0.246  0.318
Ir  0.841  0.754  0.318
Ir  0.159  0.754  0.682

## Properties
Space-group type = Cmmm, No. 65
DFT formation energy = -848.9 meV per atom



# Ba2Sn2As2P

Ba2Sn2As2P after structural relaxation (PBE-GGA, Alexandria via LeMat-Bulk).

Lattice parameters (Å, degrees): 4.122 6.849 9.297 61.09 89.88 72.33
Positions (direct):
As  0.169  0.658  0.647
P  0.000  0.000  0.000
Ba  0.449  0.103  0.699
As  0.831  0.342  0.353
Sn  0.232  0.540  0.128
Sn  0.768  0.460  0.872
Ba  0.551  0.897  0.301

## Properties
Space-group type = P-1, No. 2
DFT formation energy = -628.5 meV per atom



# Cs2Sn2Sb3

Cs2Sn2Sb3 after structural relaxation (PBE-GGA, Alexandria via LeMat-Bulk).

Lattice parameters (Å, degrees): 4.253 8.051 10.146 101.50 114.74 105.44
Positions (direct):
Sb  0.038  0.628  0.226
Sb  0.962  0.372  0.774
Cs  0.981  0.206  0.376
Sb  0.000  0.000  0.000
Sn  0.401  0.725  0.040
Sn  0.599  0.275  0.960
Cs  0.019  0.794  0.624

## Properties
Space-group type = P-1, No. 2



# CaHg2Br

CaHg2Br after structural relaxation (PBE-GGA, Alexandria via LeMat-Bulk).

Lattice parameters (Å, degrees): 6.215 6.215 6.215 141.90 125.51 68.42
Positions (direct):
Hg  0.012  0.012  0.000
Hg  0.760  0.260  0.500
Br  0.463  0.463  0.000
Ca  0.265  0.765  0.500

## Properties
Space-group type = Imm2, No. 44
Offset from the most stable computed form = 62 meV/atom



# Ac3Ge6Pd2Au

Ac3Ge6Pd2Au after structural relaxation (PBE-GGA, Alexandria via LeMat-Bulk).

Lattice parameters (Å, degrees): 6.276 6.276 8.625 90.00 90.00 120.00
Positions (direct):
Ac  0.667  0.333  0.364
Ac  0.333  0.667  0.636
Ge  0.806  0.194  0.717
Pd  0.667  0.333  0.969
Ge  0.806  0.611  0.717
Ge  0.611  0.806  0.283
Ge  0.194  0.806  0.283
Ac  0.000  0.000  0.000
Au  0.000  0.000  0.500
Ge  0.194  0.389  0.283
Pd  0.333  0.667  0.031
Ge  0.389  0.194  0.717

## Properties
Space-group type = P-3m1, No. 164
DFT formation energy = -405.4 meV per atom



# NiRu2Rh

NiRu2Rh after structural relaxation (PBE-GGA, Alexandria via LeMat-Bulk).

Lattice parameters (Å, degrees): 8.774 8.774 8.774 17.58 17.58 17.58
Each line ends with the local moment (μB).
Positions (direct):
Ru  0.502  0.502  0.502  0.07
Ni  0.250  0.250  0.250  0.38
Rh  0.750  0.750  0.750  0.00
Ru  0.998  0.998  0.998  0.07

## Properties
Space-group type = R-3m, No. 166
Offset from the most stable computed form = 88 meV/atom
DFT formation energy = 156.8 meV per atom



# TbDyTm2N4

TbDyTm2N4 after structural relaxation (PBE-GGA, Alexandria via LeMat-Bulk).

Lattice parameters (Å, degrees): 3.445 5.965 5.966 109.45 90.00 90.00
Positions (direct):
Tm  0.000  0.500  0.500
N  0.000  0.248  0.745
Tm  0.500  0.000  0.500
Tb  0.500  0.500  0.000
N  0.000  0.752  0.255
Dy  0.000  0.000  0.000
N  0.500  0.749  0.745
N  0.500  0.251  0.255

## Properties
Space-group type = P2/m, No. 10



no.,calculated total energy (eV/f.u.)
1,-17.52
2,-95.74
3,-30.96
4,-23.64
5,-7.02
6,-58.56
7,-31.06
8,-65.49